A relaxed Sm2SiP crystal, computed with GGA-PBE.

total energy = -0.199 Ha/atom
space group = R-3m (166)

extended XYZ file:
```
4
Lattice="3.8796 0.0000 0.0000 1.9398 3.3599 0.0000 1.9398 1.1200 9.2223" Properties=species:S:1:pos:R:3 pbc="T T T"
P 3.8796 2.2399 4.6111
Si 0.0000 0.0000 0.0000
Sm 1.9398 1.1200 6.2812
Sm 5.8195 3.3599 2.9411
```